No. 1
Material: SrSm2In3Te6
Method: DFT, PBE
State: optimized geometry

E_form (uncorrected) in meV/atom: -955
Space-group type: C2/m, No. 12

Cell: 10.4880 10.4880 9.5209 Å, 105.27 105.27 24.77°
Closest atoms and distances in Å follow each position.
Positions (direct):
Sr1 0.0000 0.0000 0.0000  6 Te 3.33
Sm1 0.3302 0.3302 0.6653  6 Te 3.14-3.18
Sm2 0.6698 0.6698 0.3347  6 Te 3.14-3.18
In1 0.0000 0.0000 0.5000  6 Te 3.23-3.35
In2 0.3353 0.3353 0.1668  6 Te 3.30-3.47
In3 0.6647 0.6647 0.8332  6 Te 3.30-3.47
Te1 0.1688 0.1688 0.1033  2 Sm 3.14, 3 In 3.30-3.40, 1 Sr 3.33
Te2 0.1692 0.1692 0.5694  3 Sm 3.17-3.18, 3 In 3.35-3.39
Te3 0.4890 0.4890 0.7367  1 Sm 3.14, 3 In 3.23-3.47, 2 Sr 3.33
Te4 0.5110 0.5110 0.2633  1 Sm 3.14, 3 In 3.23-3.47, 2 Sr 3.33
Te5 0.8308 0.8308 0.4306  3 Sm 3.17-3.18, 3 In 3.35-3.39
Te6 0.8312 0.8312 0.8967  2 Sm 3.14, 3 In 3.30-3.40, 1 Sr 3.33

***

No. 2
Material: SrSmTlIn
Method: DFT, PBE
State: optimized geometry

E above lowest polymorph in meV per atom: 0
Space-group type: P4mm, No. 99
Formation energy from the elements in meV per atom: -424.9

Cell: 3.9377 3.9377 8.0369 Å, 90.00 90.00 90.00°
Closest atoms and distances in Å follow each position.
Positions (direct):
Sr1 0.0000 0.0000 0.0000  4 In 3.52, 4 Tl 3.53, 4 Sr 3.94
Sm1 0.0000 0.0000 0.4963  4 In 3.33, 4 Tl 3.36
Tl1 0.5000 0.5000 0.7298  4 Sm 3.36, 4 Sr 3.53, 1 In 3.70
In1 0.5000 0.5000 0.2689  4 Sm 3.33, 4 Sr 3.52, 1 Tl 3.70